Record 1
VASP calculation (PBE) on a relaxed SiOsRu2 crystal.

Unit cell a=2.7893 b=3.7637 c=5.3050 alpha=90.00 beta=90.00 gamma=90.00
Closest atoms and distances in Å follow each position.
Space group Pmm2 (No. 25)
Inequivalent atoms, fractional coordinates:
Si 0.0000 0.0000 0.0000  6 Ru 2.55-2.69, 2 Si 2.79, 4 Os 2.81
Os 0.5000 0.5000 0.2913  6 Ru 2.55-2.75, 2 Os 2.79, 4 Si 2.81
Ru 0.0000 0.0000 0.4926  4 Os 2.57, 2 Si 2.61-2.69, 2 Ru 2.79
Ru 0.5000 0.5000 0.8101  4 Si 2.55, 2 Os 2.55-2.75, 2 Ru 2.79

For the uncorrected formation energy, the calculation gives 0.01 eV per atom. The total energy comes out at -8.796 eV/atom. As for the crystal system: orthorhombic.

=====

Record 2
VASP calculation (PBE) on a relaxed SiOs2Ru crystal.

Unit cell a=2.8550 b=4.3382 c=8.8094 alpha=90.00 beta=90.00 gamma=90.00
Closest atoms and distances in Å follow each position.
Space group Imm2 (No. 44)
Inequivalent atoms, fractional coordinates:
Si 0.0000 0.0000 0.0000  2 Ru 2.39, 6 Os 2.42-2.60
Os 0.0000 0.0000 0.4979  4 Si 2.60, 4 Os 2.82-2.85, 4 Ru 2.88
Os 0.0000 0.5000 0.7222  2 Si 2.42, 4 Ru 2.65
Ru 0.0000 0.5000 0.2823  2 Si 2.39, 4 Os 2.65

For the uncorrected formation energy, the calculation gives -0.07 eV per atom. The total energy comes out at -9.363 eV/atom. As for the crystal system: orthorhombic.

=====

Record 3
VASP calculation (PBE) on a relaxed Si2Os2Ru crystal.

Unit cell a=6.9716 b=6.9716 c=2.7917 alpha=90.00 beta=90.00 gamma=90.00
Closest atoms and distances in Å follow each position.
Space group P4/mbm (No. 127)
Inequivalent atoms, fractional coordinates:
Si 0.1451 0.3549 0.0000  6 Os 2.41-2.52, 2 Ru 2.67
Os 0.1550 0.6550 0.5000  6 Si 2.41-2.52
Ru 0.0000 0.0000 0.0000  4 Si 2.67, 2 Ru 2.79, 8 Os 2.98

For the uncorrected formation energy, the calculation gives -0.11 eV per atom. The total energy comes out at -8.621 eV/atom. As for the crystal system: tetragonal.

=====

Record 4
VASP calculation (PBE) on a relaxed Si2OsRu crystal.

Unit cell a=6.0769 b=6.0769 c=6.0769 alpha=90.00 beta=90.00 gamma=90.00
Closest atoms and distances in Å follow each position.
Space group F-43m (No. 216)
Inequivalent atoms, fractional coordinates:
Si 0.0000 0.0000 0.0000  4 Si 2.63, 4 Ru 2.63
Si 0.2500 0.2500 0.2500  4 Os 2.63, 4 Si 2.63
Os 0.0000 0.0000 0.5000  4 Ru 2.63, 4 Si 2.63
Ru 0.2500 0.2500 0.7500  4 Os 2.63, 4 Si 2.63

For the uncorrected formation energy, the calculation gives 0.31 eV per atom. The total energy comes out at -7.530 eV/atom. As for the crystal system: cubic.